No. 1
The following is a GGA-PBEsol calculation of a relaxed Na2BeF4 crystal, from Alexandria.

Lattice parameters (Å, degrees): 10.9352 6.5394 4.8844 90.00 90.00 90.00
With the nearest neighbours (Å) after each atom.
Space group Pnma (No. 62)
Symmetry-distinct sites (fractional):
Na (0.0000, 0.0000, 0.0000) x4  6 F 2.26-2.33
Na (0.2218, 0.2500, 0.4872) x4  6 F 2.25-2.37
Be (0.0953, 0.7500, 0.4289) x4  4 F 1.55-1.58
F (0.0383, 0.2500, 0.6932) x4  1 Be 1.58
F (0.0935, 0.7500, 0.7456) x4  1 Be 1.55
F (0.1604, 0.5578, 0.3044) x8  1 Be 1.57

* raw total energy: -5.09 eV per atom
* raw formation energy: -3.02 eV per atom
* theoretical density: 2.491 Mg/m³

***

No. 2
The following is a GGA-PBEsol calculation of a relaxed Li2MgTi crystal, from Alexandria.

Lattice parameters (Å, degrees): 7.2907 7.2907 5.7691 90.00 90.00 90.00
With the nearest neighbours (Å) after each atom.
Space group I-42d (No. 122)
Symmetry-distinct sites (fractional):
Li (0.2444, 0.7500, 0.1250) x8  2 Mg 2.65, 2 Ti 2.70, 2 Li 2.89
Mg (0.0000, 0.0000, 0.0000) x4  4 Li 2.65, 2 Ti 2.88
Ti (0.0000, 0.0000, 0.5000) x4  4 Li 2.70, 2 Mg 2.88

* raw total energy: -2.92 eV per atom
* theoretical density: 1.864 Mg/m³

***

- Which value of raw total energy does entry 2 give?
  -2.92 eV per atom

***

- Which of these has the highest theoretical density?
  Na2BeF4

***

- The highest raw total energy belongs to which entry?
  Li2MgTi

***

- Among the records above, which one has the lowest theoretical density?
  Li2MgTi